The following is a DFT calculation (PBE) of LiTlPtRh2 after structural relaxation.

DFT total energy ... -4.17 eV/atom
Space-group type ... P4/mmm
Formation enthalpy at 0 K ... 0.8299 eV/atom

a b c (Å): 4.9344 5.1705 4.9344
angles (deg): 90.00 90.00 90.00
Closest atoms and distances in Å follow each position.
Sites, in units of the cell vectors:
Pt 0.0000 0.0000 0.0000  4 Rh 2.47, 2 Tl 2.59
Li 0.5000 0.5000 0.5000  4 Tl 3.49, 8 Rh 3.57
Tl 0.0000 0.5000 0.0000  2 Pt 2.59
Rh 0.0000 0.0000 0.5000  2 Pt 2.47
Rh 0.5000 0.0000 0.0000  2 Pt 2.47

---

The following is a DFT calculation (PBE) of LiTmPtRh after structural relaxation.

DFT total energy ... -5.72 eV/atom
Space-group type ... F-43m
Formation enthalpy at 0 K ... -0.7791 eV/atom

a b c (Å): 4.5591 4.5591 4.5591
angles (deg): 60.00 60.00 60.00
Closest atoms and distances in Å follow each position.
Sites, in units of the cell vectors:
Pt 0.7500 0.7500 0.7500  4 Tm 2.79, 4 Li 2.79
Li 0.5000 0.5000 0.5000  4 Pt 2.79, 4 Rh 2.79
Tm 0.0000 0.0000 0.0000  4 Rh 2.79, 4 Pt 2.79
Rh 0.2500 0.2500 0.2500  4 Li 2.79, 4 Tm 2.79

---

The following is a DFT calculation (PBE) of LiTmPtRh after structural relaxation.

DFT total energy ... -5.74 eV/atom
Space-group type ... Pmmm
Formation enthalpy at 0 K ... -0.7988 eV/atom

a b c (Å): 3.7451 4.1018 4.3062
angles (deg): 90.00 90.00 90.00
Closest atoms and distances in Å follow each position.
Sites, in units of the cell vectors:
Tm 0.5000 0.0000 0.5000  4 Rh 2.78, 4 Pt 2.85, 4 Li 2.97
Rh 0.0000 0.5000 0.5000  4 Tm 2.78, 4 Li 2.85, 4 Pt 2.97
Pt 0.0000 0.0000 0.0000  4 Li 2.78, 4 Tm 2.85, 4 Rh 2.97
Li 0.5000 0.5000 0.0000  4 Pt 2.78, 4 Rh 2.85, 4 Tm 2.97

---

The following is a DFT calculation (PBE) of LiUPtRh after structural relaxation.

DFT total energy ... -7.15 eV/atom
Space-group type ... F-43m
Formation enthalpy at 0 K ... -0.4987 eV/atom

a b c (Å): 4.6331 4.6331 4.6331
angles (deg): 60.00 60.00 60.00
Closest atoms and distances in Å follow each position.
Sites, in units of the cell vectors:
Rh 0.2500 0.2500 0.2500  4 Li 2.84, 4 U 2.84
Pt 0.7500 0.7500 0.7500  4 U 2.84, 4 Li 2.84
Li 0.5000 0.5000 0.5000  4 Rh 2.84, 4 Pt 2.84
U 0.0000 0.0000 0.0000  4 Pt 2.84, 4 Rh 2.84

---

The following is a DFT calculation (PBE) of LiZrPtRh after structural relaxation.

DFT total energy ... -6.73 eV/atom
Space-group type ... F-43m
Formation enthalpy at 0 K ... -0.7679 eV/atom

a b c (Å): 4.4888 4.4888 4.4888
angles (deg): 60.00 60.00 60.00
Closest atoms and distances in Å follow each position.
Sites, in units of the cell vectors:
Zr 0.5000 0.5000 0.5000  4 Rh 2.75, 4 Pt 2.75
Rh 0.2500 0.2500 0.2500  4 Zr 2.75, 4 Li 2.75
Pt 0.7500 0.7500 0.7500  4 Zr 2.75, 4 Li 2.75
Li 0.0000 0.0000 0.0000  4 Pt 2.75, 4 Rh 2.75

---

The following is a DFT calculation (PBE) of Li2RuPt after structural relaxation.

DFT total energy ... -4.79 eV/atom
Space-group type ... I4/mmm
Formation enthalpy at 0 K ... -0.0044 eV/atom

a b c (Å): 4.9279 4.9279 4.9279
angles (deg): 136.06 136.06 63.88
Closest atoms and distances in Å follow each position.
Sites, in units of the cell vectors:
Ru 0.7500 0.2500 0.5000  4 Pt 2.61, 8 Li 2.79
Li 0.5000 0.5000 0.0000  4 Li 2.61, 4 Pt 2.79, 4 Ru 2.79
Li 0.0000 0.0000 0.0000  4 Li 2.61, 4 Ru 2.79, 4 Pt 2.79
Pt 0.2500 0.7500 0.5000  4 Ru 2.61, 8 Li 2.79

---

The following is a DFT calculation (PBE) of LiRu2Pt after structural relaxation.

DFT total energy ... -6.37 eV/atom
Space-group type ... Fm-3m
Formation enthalpy at 0 K ... 0.2583 eV/atom

a b c (Å): 4.2897 4.2897 4.2897
angles (deg): 60.00 60.00 60.00
Closest atoms and distances in Å follow each position.
Sites, in units of the cell vectors:
Li 0.0000 0.0000 0.0000  8 Ru 2.63
Ru 0.2500 0.2500 0.2500  4 Li 2.63, 4 Pt 2.63
Ru 0.7500 0.7500 0.7500  4 Li 2.63, 4 Pt 2.63
Pt 0.5000 0.5000 0.5000  8 Ru 2.63

---

The following is a DFT calculation (PBE) of LiRuPt after structural relaxation.

DFT total energy ... -5.81 eV/atom
Space-group type ... P-6m2
Formation enthalpy at 0 K ... -0.0617 eV/atom

a b c (Å): 2.7073 2.7073 13.5174
angles (deg): 90.00 90.00 120.00
Closest atoms and distances in Å follow each position.
Sites, in units of the cell vectors:
Pt 0.6109 0.2219 0.6695  3 Li 2.70, 6 Pt 2.71, 3 Ru 2.77
Pt 0.6109 0.2219 0.3305  3 Li 2.70, 6 Pt 2.71, 3 Ru 2.77
Li 0.2778 0.5556 0.8325  3 Pt 2.70, 6 Li 2.71, 3 Ru 2.75
Li 0.2778 0.5556 0.1675  3 Pt 2.70, 6 Li 2.71, 3 Ru 2.75
Ru 0.2777 0.5553 0.5000  6 Ru 2.71, 6 Pt 2.77
Ru 0.6114 0.2229 0.0000  6 Ru 2.71, 6 Li 2.75

---

The following is a DFT calculation (PBE) of LiRuPt2 after structural relaxation.

DFT total energy ... -5.97 eV/atom
Space-group type ... I-4m2
Formation enthalpy at 0 K ... -0.1535 eV/atom

a b c (Å): 4.7059 4.7059 4.7059
angles (deg): 131.84 131.84 70.49
Closest atoms and distances in Å follow each position.
Sites, in units of the cell vectors:
Li 0.7500 0.2500 0.5000  8 Pt 2.72, 4 Ru 2.72
Pt 0.2500 0.7500 0.5000  4 Li 2.72, 4 Pt 2.72, 4 Ru 2.72
Pt 0.0000 0.0000 0.0000  4 Ru 2.72, 4 Li 2.72, 4 Pt 2.72
Ru 0.5000 0.5000 0.0000  8 Pt 2.72, 4 Li 2.72

---

The following is a DFT calculation (PBE) of LiRuPt2 after structural relaxation.

DFT total energy ... -6.01 eV/atom
Space-group type ... Pmmm
Formation enthalpy at 0 K ... -0.1957 eV/atom

a b c (Å): 2.7248 3.8921 5.3910
angles (deg): 90.00 90.00 90.00
Closest atoms and distances in Å follow each position.
Sites, in units of the cell vectors:
Pt 0.0000 0.0000 0.5015  4 Pt 2.68-2.72, 4 Li 2.73, 4 Ru 2.74
Pt 0.0000 0.0000 0.9985  4 Pt 2.68-2.72, 4 Li 2.73, 4 Ru 2.74
Li 0.5000 0.5000 0.7500  2 Ru 2.70, 2 Li 2.72, 8 Pt 2.73
Ru 0.5000 0.5000 0.2500  2 Li 2.70, 2 Ru 2.72, 8 Pt 2.74

---

The following is a DFT calculation (PBE) of LiRu2Pt after structural relaxation.

DFT total energy ... -6.59 eV/atom
Space-group type ... I4/mmm
Formation enthalpy at 0 K ... 0.0317 eV/atom

a b c (Å): 4.8000 4.8000 4.8000
angles (deg): 134.80 134.80 65.84
Closest atoms and distances in Å follow each position.
Sites, in units of the cell vectors:
Li 0.2500 0.7500 0.5000  4 Pt 2.61, 8 Ru 2.73
Ru 0.5000 0.5000 0.0000  4 Ru 2.61, 4 Pt 2.73, 4 Li 2.73
Ru 0.0000 0.0000 0.0000  4 Ru 2.61, 4 Li 2.73, 4 Pt 2.73
Pt 0.7500 0.2500 0.5000  4 Li 2.61, 8 Ru 2.73

---

The following is a DFT calculation (PBE) of LiRuPt2 after structural relaxation.

DFT total energy ... -6.11 eV/atom
Space-group type ... Cmmm
Formation enthalpy at 0 K ... -0.2902 eV/atom

a b c (Å): 4.7233 4.7233 2.7051
angles (deg): 90.00 90.00 108.94
Closest atoms and distances in Å follow each position.
Sites, in units of the cell vectors:
Pt 0.5000 0.5000 0.0000  4 Pt 2.71-2.74, 4 Li 2.72, 4 Ru 2.72
Pt 0.0000 0.0000 0.0000  4 Pt 2.71-2.74, 4 Ru 2.72, 4 Li 2.72
Li 0.0000 0.5000 0.5000  2 Li 2.71, 8 Pt 2.72, 2 Ru 2.74
Ru 0.5000 0.0000 0.5000  2 Ru 2.71, 8 Pt 2.72, 2 Li 2.74

---

The following is a DFT calculation (PBE) of LiRuPt2 after structural relaxation.

DFT total energy ... -5.92 eV/atom
Space-group type ... Pmm2
Formation enthalpy at 0 K ... -0.1063 eV/atom

a b c (Å): 2.7076 3.9841 5.3730
angles (deg): 90.00 90.00 90.00
Closest atoms and distances in Å follow each position.
Sites, in units of the cell vectors:
Ru 0.0000 0.0000 0.4860  6 Pt 2.61-2.76, 2 Ru 2.71, 4 Li 2.84
Pt 0.0000 0.0000 0.9725  2 Ru 2.61-2.76, 4 Li 2.65, 6 Pt 2.71-2.91
Pt 0.5000 0.5000 0.2748  2 Li 2.64-2.73, 4 Ru 2.66, 6 Pt 2.71-2.91
Li 0.5000 0.5000 0.7667  6 Pt 2.64-2.73, 2 Li 2.71, 4 Ru 2.84

---

The following is a DFT calculation (PBE) of LiRuPt2 after structural relaxation.

DFT total energy ... -6.06 eV/atom
Space-group type ... Cm
Formation enthalpy at 0 K ... -0.2373 eV/atom

a b c (Å): 4.7882 4.7882 4.7057
angles (deg): 81.78 81.78 32.92
Closest atoms and distances in Å follow each position.
Sites, in units of the cell vectors:
Li 0.7438 0.7438 0.7847  7 Pt 2.55-2.75, 2 Li 2.71, 1 Ru 2.79
Ru 0.5118 0.5118 0.4629  7 Pt 2.61-2.75, 2 Ru 2.71, 1 Li 2.79
Pt 0.9924 0.9924 0.9621  3 Li 2.55-2.70, 4 Ru 2.70-2.75, 4 Pt 2.71-2.84
Pt 0.2520 0.2520 0.2902  3 Ru 2.61-2.63, 4 Li 2.68-2.75, 4 Pt 2.71-2.84

---

The following is a DFT calculation (PBE) of Li2RuPt after structural relaxation.

DFT total energy ... -4.70 eV/atom
Space-group type ... Fm-3m
Formation enthalpy at 0 K ... 0.0856 eV/atom

a b c (Å): 4.1622 4.1622 4.1622
angles (deg): 60.00 60.00 60.00
Closest atoms and distances in Å follow each position.
Sites, in units of the cell vectors:
Ru 0.0000 0.0000 0.0000  8 Li 2.55
Li 0.2500 0.2500 0.2500  4 Ru 2.55, 4 Pt 2.55
Li 0.7500 0.7500 0.7500  4 Pt 2.55, 4 Ru 2.55
Pt 0.5000 0.5000 0.5000  8 Li 2.55

---

The following is a DFT calculation (PBE) of Li2RuPt after structural relaxation.

DFT total energy ... -4.97 eV/atom
Space-group type ... Immm
Formation enthalpy at 0 K ... -0.1805 eV/atom

a b c (Å): 5.2207 5.2207 5.2207
angles (deg): 150.23 127.13 61.85
Closest atoms and distances in Å follow each position.
Sites, in units of the cell vectors:
Pt 0.7500 0.2500 0.5000  4 Li 2.57, 2 Pt 2.68, 4 Ru 2.68
Li 0.5051 0.5051 0.0000  2 Pt 2.57, 2 Ru 2.65, 6 Li 2.68
Li 0.9949 0.9949 0.0000  2 Pt 2.57, 2 Ru 2.65, 6 Li 2.68
Ru 0.2500 0.7500 0.5000  4 Li 2.65, 2 Ru 2.68, 4 Pt 2.68

---

The following is a DFT calculation (PBE) of LiRu2Pt after structural relaxation.

DFT total energy ... -6.49 eV/atom
Space-group type ... F-43m
Formation enthalpy at 0 K ... 0.1381 eV/atom

a b c (Å): 4.2894 4.2894 4.2894
angles (deg): 60.00 60.00 60.00
Closest atoms and distances in Å follow each position.
Sites, in units of the cell vectors:
Ru 0.0000 0.0000 0.0000  4 Ru 2.63, 4 Pt 2.63
Ru 0.2500 0.2500 0.2500  4 Li 2.63, 4 Ru 2.63
Li 0.5000 0.5000 0.5000  4 Ru 2.63, 4 Pt 2.63
Pt 0.7500 0.7500 0.7500  4 Li 2.63, 4 Ru 2.63

---

The following is a DFT calculation (PBE) of Li2RuPt after structural relaxation.

DFT total energy ... -4.96 eV/atom
Space-group type ... Cm
Formation enthalpy at 0 K ... -0.1690 eV/atom

a b c (Å): 5.0816 5.0816 4.8083
angles (deg): 64.64 64.64 30.17
Closest atoms and distances in Å follow each position.
Sites, in units of the cell vectors:
Ru 0.2429 0.2429 0.3575  3 Pt 2.63-2.64, 2 Ru 2.64, 7 Li 2.68-2.80
Pt 0.5024 0.5024 0.3938  3 Ru 2.63-2.64, 2 Pt 2.64, 7 Li 2.70-2.79
Li 0.7578 0.7578 0.8402  5 Li 2.51-2.77, 3 Pt 2.73-2.75, 4 Ru 2.73-2.76
Li 0.9969 0.9969 0.9085  5 Li 2.51-2.77, 3 Ru 2.68-2.80, 4 Pt 2.70-2.79

---

The following is a DFT calculation (PBE) of LiRu2Pt after structural relaxation.

DFT total energy ... -6.54 eV/atom
Space-group type ... Cmmm
Formation enthalpy at 0 K ... 0.0825 eV/atom

a b c (Å): 4.8749 4.8749 2.6785
angles (deg): 90.00 90.00 118.05
Closest atoms and distances in Å follow each position.
Sites, in units of the cell vectors:
Ru 0.5000 0.5000 0.0000  4 Ru 2.51-2.68, 4 Pt 2.78, 4 Li 2.78
Ru 0.0000 0.0000 0.0000  4 Ru 2.51-2.68, 4 Li 2.78, 4 Pt 2.78
Li 0.5000 0.0000 0.5000  2 Pt 2.51, 2 Li 2.68, 8 Ru 2.78
Pt 0.0000 0.5000 0.5000  2 Li 2.51, 2 Pt 2.68, 8 Ru 2.78

---

The following is a DFT calculation (PBE) of LiRu2Pt after structural relaxation.

DFT total energy ... -6.66 eV/atom
Space-group type ... Amm2
Formation enthalpy at 0 K ... -0.0296 eV/atom

a b c (Å): 4.0436 2.6819 5.2383
angles (deg): 75.11 90.00 90.00
Closest atoms and distances in Å follow each position.
Sites, in units of the cell vectors:
Pt 0.5000 0.7071 0.7086  4 Li 2.60, 3 Ru 2.66-2.75, 2 Pt 2.68
Ru 0.0000 0.0465 0.0338  3 Li 2.58-2.82, 6 Ru 2.63-2.68
Ru 0.5000 0.4463 0.2342  2 Li 2.50, 6 Ru 2.63-2.68, 3 Pt 2.66-2.75
Li 0.0000 0.3001 0.5234  3 Ru 2.50-2.58, 4 Pt 2.60, 2 Li 2.68